# 1
A relaxed structure of Ta3FeHg, computed with GGA-PBE.

a = 4.9635 Å, b = 4.9635 Å, c = 4.9635 Å
α = 90.00°, β = 90.00°, γ = 90.00°
Fractional coordinates of all 5 atoms:
Ta  0.5000  0.0000  0.0000
Fe  0.5000  0.5000  0.5000
Hg  0.0000  0.0000  0.0000
Ta  0.0000  0.0000  0.5000
Ta  0.0000  0.5000  0.0000

Output
- Space-group type: Pm-3m
- Density: 10.85 g/cm3
- ΔH_f (0 K): 2.767 eV/atom
- Energy above the most stable polymorph in this dataset: 2081 meV per atom

=====

# 2
A relaxed structure of TaFeHg2, computed with GGA-PBE.

a = 4.6084 Å, b = 4.6084 Å, c = 4.6084 Å
α = 60.00°, β = 60.00°, γ = 60.00°
Fractional coordinates of all 4 atoms:
Ta  0.5000  0.5000  0.5000
Hg  0.7500  0.7500  0.7500
Fe  0.0000  0.0000  0.0000
Hg  0.2500  0.2500  0.2500

Output
- Space-group type: Fm-3m
- Density: 15.31 g/cm3
- ΔH_f (0 K): 0.721 eV/atom
- Energy above the most stable polymorph in this dataset: 456 meV per atom

=====

# 3
A relaxed structure of TaFeHg2, computed with GGA-PBE.

a = 2.9475 Å, b = 2.9475 Å, c = 8.2767 Å
α = 90.00°, β = 90.00°, γ = 90.01°
Fractional coordinates of all 4 atoms:
Ta  0.5000  0.5000  0.2500
Hg  0.0000  0.0000  0.5159
Fe  0.5000  0.5000  0.7500
Hg  0.0000  0.0000  0.9841

Output
- Space-group type: P4/mmm
- Density: 14.73 g/cm3
- ΔH_f (0 K): 0.450 eV/atom
- Energy above the most stable polymorph in this dataset: 185 meV per atom

=====

# 4
A relaxed structure of TaFeHg2, computed with GGA-PBE.

a = 6.5402 Å, b = 5.2674 Å, c = 2.8470 Å
α = 89.94°, β = 64.31°, γ = 120.24°
Fractional coordinates of all 4 atoms:
Hg  0.5000  0.0000  0.5000
Ta  0.0000  0.5000  0.5000
Hg  0.0000  0.0000  0.0000
Fe  0.5000  0.5000  0.0000

Output
- Space-group type: Cmmm
- Density: 14.46 g/cm3
- ΔH_f (0 K): 0.513 eV/atom
- Energy above the most stable polymorph in this dataset: 249 meV per atom

=====

# 5
A relaxed structure of TaFeHg2, computed with GGA-PBE.

a = 4.3359 Å, b = 4.0899 Å, c = 4.0899 Å
α = 90.00°, β = 90.00°, γ = 90.00°
Fractional coordinates of all 4 atoms:
Hg  0.0000  0.0000  0.0000
Ta  0.5000  0.5000  0.0000
Fe  0.5000  0.0000  0.5000
Hg  0.0000  0.5000  0.5000

Output
- Space-group type: P4/mmm
- Density: 14.61 g/cm3
- ΔH_f (0 K): 0.525 eV/atom
- Energy above the most stable polymorph in this dataset: 260 meV per atom

=====

# 6
A relaxed structure of TaFeHg4, computed with GGA-PBE.

a = 5.6234 Å, b = 5.6234 Å, c = 5.6234 Å
α = 60.00°, β = 60.00°, γ = 60.00°
Fractional coordinates of all 6 atoms:
Hg  0.3751  0.3751  0.8748
Fe  0.0000  0.0000  0.0000
Hg  0.3751  0.8748  0.3751
Hg  0.3751  0.3751  0.3751
Hg  0.8748  0.3751  0.3751
Ta  0.7500  0.7500  0.7500

Output
- Space-group type: F-43m
- Density: 13.72 g/cm3
- ΔH_f (0 K): 0.936 eV/atom

=====

no.,E (eV/atom),magnetization (Bohr magnetons per cell)
1,-6.0973,0.97
2,-4.5089,0.00
3,-4.7800,2.76
4,-4.7167,2.71
5,-4.7051,2.55
6,-2.6515,1.66